Record 1
Entry from Alexandria: RbBe2H after structural relaxation (PBE).

Lattice parameters (Å, degrees): 5.7584 5.7584 5.7624 60.02 60.02 90.00
Positions (direct):
Be1 0.3750 0.1250 0.2500
Be2 0.3750 0.6250 0.2500
Be3 0.3750 0.6250 0.7500
Be4 0.8750 0.6250 0.7500
Rb1 0.0000 0.0000 0.0000
Rb2 0.7500 0.2500 0.5000
H1 0.5000 0.5000 0.0000
H2 0.2500 0.7500 0.5000

Final energy ... -15.767 eV for the cell shown
Symmetry ... Fd-3m (227)

Record 2
Entry from Alexandria: Rb3BeH after structural relaxation (PBE).

Lattice parameters (Å, degrees): 5.8027 5.8027 5.8027 90.00 90.00 90.00
Positions (direct):
Be1 0.5000 0.5000 0.5000
Rb1 0.0000 0.5000 0.0000
Rb2 0.0000 0.0000 0.5000
Rb3 0.5000 0.0000 0.0000
H1 0.0000 0.0000 0.0000

Final energy ... -7.597 eV for the cell shown
Symmetry ... Pm-3m (221)

Record 3
Entry from Alexandria: Rb2BeH3 after structural relaxation (PBE).

Lattice parameters (Å, degrees): 6.1950 6.1950 9.2529 108.18 108.18 93.89
Positions (direct):
Rb1 0.2500 0.7500 0.5000
Rb2 0.7347 0.7347 0.0000
Rb3 0.7500 0.2500 0.5000
Rb4 0.2653 0.2653 0.0000
Be1 0.3421 0.3421 0.6841
Be2 0.6579 0.6579 0.3159
H1 0.5210 0.2507 0.7718
H2 0.7493 0.4790 0.2282
H3 0.4790 0.7493 0.2282
H4 0.2507 0.5210 0.7718
H5 0.7437 0.7437 0.4875
H6 0.2563 0.2563 0.5125

Final energy ... -32.390 eV for the cell shown
Symmetry ... Fmmm (69)

Record 4
Entry from Alexandria: RbBe2H after structural relaxation (PBE).

Lattice parameters (Å, degrees): 3.7948 4.3117 10.4579 87.28 87.99 89.90
Positions (direct):
Rb1 0.7377 0.7274 0.7020
Rb2 0.2623 0.2726 0.2980
Be1 0.2476 0.8728 0.9899
Be2 0.7524 0.1272 0.0101
Be3 0.2558 0.3796 0.9831
Be4 0.7442 0.6204 0.0169
H1 0.0699 0.1220 0.9052
H2 0.9301 0.8780 0.0948

Final energy ... -22.147 eV for the cell shown
Symmetry ... P-1 (2)

Record 5
Entry from Alexandria: RbBeH after structural relaxation (PBE).

Lattice parameters (Å, degrees): 4.1109 6.3499 6.9721 90.83 99.74 90.49
Positions (direct):
Rb1 0.8957 0.5947 0.8668
Rb2 0.3990 0.0943 0.3679
Be1 0.6450 0.0931 0.8774
Be2 0.1468 0.0963 0.8607
H1 0.4096 0.2584 0.9135
H2 0.3817 0.9317 0.8218

Final energy ... -15.269 eV for the cell shown
Symmetry ... P1 (1)

Record 6
Entry from Alexandria: RbBe2H after structural relaxation (PBE).

Lattice parameters (Å, degrees): 4.2941 4.2945 9.5933 89.91 89.96 60.01
Positions (direct):
Rb1 0.7952 0.5247 0.9656
Rb2 0.1286 0.8591 0.6052
Be1 0.6278 0.3615 0.2894
Be2 0.1285 0.8623 0.2623
Be3 0.1298 0.3615 0.2892
Be4 0.6278 0.8635 0.2891
H1 0.4619 0.1916 0.7820
H2 0.4618 0.1950 0.3875

Final energy ... -22.589 eV for the cell shown
Symmetry ... P1 (1)

Values for total magnetization, μB/cell, ordered as above
0.00 0.00 0.00 0.00 0.17 0.00